First-principles (PBE) data for an optimized crystal structure of BeHgCl4, as listed in Alexandria.

For the excess energy over the best structure of this formula in the dataset, the calculation gives 1.5729 eV per atom. The density of states at the Fermi level comes out at 8.18 states/eV/f.u. As for the energy relative to the elements, uncorrected: 840 meV/atom.

The space group is F-43m (No. 216) and the conventional cell measures 8.5043, 8.5043 and 8.5043 Å, with angles of 90.00, 90.00 and 90.00 degrees. The distinct sites, in fractional coordinates, are Be at (0.0000, 0.0000, 0.0000), Hg at (0.2500, 0.2500, 0.2500) and Cl at (0.1251, 0.1251, 0.6251).